(1)
The following is a DFT calculation (PBE-GGA) of crystalline ZrSc4Pb at its relaxed geometry.

Results
E above lowest polymorph ... 0 meV per atom
V ... 23.9 Å³/atom
Formation enthalpy at 0 K ... -0.17 eV/atom

Cell lengths 14.1006, 4.3593, 10.5519 Å; angles 90.00, 117.70, 90.00 degrees
With the nearest neighbours (Å) after each atom.
Space group C2/m (No. 12)
Inequivalent atoms, fractional coordinates:
1 Zr 0.2130 0.0000 0.3839 [4 per cell]  9 Sc 3.07-3.40, 2 Zr 3.08, 1 Pb 3.36
2 Sc 0.0441 0.5000 0.3803 [4 per cell]  2 Pb 3.15, 3 Zr 3.16-3.22, 7 Sc 3.22-3.37
3 Sc 0.1167 0.5000 0.1210 [4 per cell]  6 Sc 3.09-3.39, 4 Pb 3.22-3.26, 2 Zr 3.28
4 Sc 0.1403 0.0000 0.6336 [4 per cell]  3 Zr 3.07-3.24, 7 Sc 3.17-3.34, 1 Pb 3.26
5 Sc 0.2121 0.5000 0.8792 [4 per cell]  8 Sc 3.14-3.39, 3 Pb 3.15-3.23, 1 Zr 3.40
6 Pb 0.0456 0.0000 0.8630 [4 per cell]  10 Sc 3.15-3.26, 1 Zr 3.36



(2)
The following is a DFT calculation (PBE-GGA) of crystalline Pr2Ga3Ni4Pt at its relaxed geometry.

Results
V ... 17.4 Å³/atom
Formation enthalpy at 0 K ... -0.55 eV/atom

Cell lengths 4.1294, 4.1294, 10.1956 Å; angles 90.00, 90.00, 90.00 degrees
With the nearest neighbours (Å) after each atom.
Space group P-4m2 (No. 115)
Inequivalent atoms, fractional coordinates:
1 Pr 0.0000 0.5000 0.2488 [2 per cell]  8 Ni 3.11-3.29, 6 Ga 3.21-3.27, 2 Pt 3.27
2 Ga 0.0000 0.0000 0.0000 [1 per cell]  4 Ni 2.53
3 Ga 0.0000 0.5000 0.6213 [2 per cell]  5 Ni 2.40-2.41
4 Ni 0.0000 0.0000 0.5000 [1 per cell]  4 Ga 2.41
5 Ni 0.0000 0.5000 0.8569 [2 per cell]  3 Ga 2.40-2.53, 2 Pt 2.53
6 Ni 0.5000 0.5000 0.5000 [1 per cell]  4 Ga 2.41
7 Pt 0.5000 0.5000 0.0000 [1 per cell]  4 Ni 2.53



(3)
The following is a DFT calculation (PBE-GGA) of crystalline Tb2PrHgO at its relaxed geometry.

Results
V ... 23.0 Å³/atom
Uncorrected energy ... -5.2133 eV per atom

Cell lengths 4.8052, 4.8052, 4.9867 Å; angles 90.00, 90.00, 90.00 degrees
With the nearest neighbours (Å) after each atom.
Space group P4/mmm (No. 123)
Inequivalent atoms, fractional coordinates:
1 Tb 0.0000 0.5000 0.0000 [2 per cell]  2 O 2.40
2 Pr 0.0000 0.0000 0.5000 [1 per cell]  2 O 2.49
3 Hg 0.5000 0.5000 0.5000 [1 per cell]  4 Pr 3.40, 8 Tb 3.46
4 O 0.0000 0.0000 0.0000 [1 per cell]  4 Tb 2.40, 2 Pr 2.49



(4)
The following is a DFT calculation (PBE-GGA) of crystalline CsTe3Rh at its relaxed geometry.

Results
V ... 50.1 Å³/atom
Uncorrected energy ... -1.8234 eV per atom

Cell lengths 6.3043, 6.3043, 6.3043 Å; angles 90.00, 90.00, 90.00 degrees
With the nearest neighbours (Å) after each atom.
Space group Pm-3m (No. 221)
Inequivalent atoms, fractional coordinates:
1 Cs 0.0000 0.0000 0.0000 [1 per cell]  6 Te 3.15
2 Te 0.0000 0.0000 0.5000 [3 per cell]  2 Cs 3.15
3 Rh 0.5000 0.5000 0.5000 [1 per cell]  12 Te 4.46



(5)
The following is a DFT calculation (PBE-GGA) of crystalline AlAs3 at its relaxed geometry.

Results
E above lowest polymorph ... 227 meV per atom
V ... 20.0 Å³/atom
Formation enthalpy at 0 K ... 0.13 eV/atom

Cell lengths 3.4376, 3.6709, 6.3428 Å; angles 90.00, 90.00, 90.00 degrees
With the nearest neighbours (Å) after each atom.
Space group Pmm2 (No. 25)
Inequivalent atoms, fractional coordinates:
1 Al 0.0000 0.0000 0.0000 [1 per cell]  6 As 2.67-2.72
2 As 0.0000 0.5000 0.4895 [1 per cell]  6 As 2.76-2.79
3 As 0.5000 0.0000 0.6670 [1 per cell]  2 Al 2.72, 4 As 2.76
4 As 0.5000 0.5000 0.1437 [1 per cell]  4 Al 2.67, 2 As 2.79



(6)
The following is a DFT calculation (PBE-GGA) of crystalline Nd5Ho3Er3 at its relaxed geometry.

Results
E above lowest polymorph ... 27 meV per atom
V ... 34.2 Å³/atom
Formation enthalpy at 0 K ... 0.34 eV/atom

Cell lengths 11.1919, 11.1919, 3.4731 Å; angles 90.00, 90.00, 120.00 degrees
With the nearest neighbours (Å) after each atom.
Space group P-62m (No. 189)
Inequivalent atoms, fractional coordinates:
1 Nd 0.0000 0.1625 0.0000 [3 per cell]  4 Nd 3.15-3.47, 2 Ho 3.24, 2 Er 3.32
2 Nd 0.3333 0.6667 0.0000 [2 per cell]  2 Nd 3.47, 3 Er 3.68, 6 Ho 3.81
3 Ho 0.0000 0.4070 0.5000 [3 per cell]  2 Nd 3.24, 2 Er 3.30, 2 Ho 3.47
4 Er 0.0000 0.6574 0.0000 [3 per cell]  2 Ho 3.30, 4 Nd 3.32-3.68, 2 Er 3.47



(7)
The following is a DFT calculation (PBE-GGA) of crystalline Li3Ag at its relaxed geometry.

Results
E above lowest polymorph ... 0 meV per atom
V ... 16.7 Å³/atom
Formation enthalpy at 0 K ... -0.15 eV/atom

Cell lengths 4.0248, 4.1398, 8.0232 Å; angles 90.00, 90.00, 90.00 degrees
With the nearest neighbours (Å) after each atom.
Space group Immm (No. 71)
Inequivalent atoms, fractional coordinates:
1 Li 0.0000 0.0000 0.0000 [2 per cell]  8 Li 2.84-2.88, 4 Ag 2.89
2 Li 0.0000 0.5000 0.2499 [4 per cell]  4 Ag 2.84-2.88, 8 Li 2.84-2.89
3 Ag 0.0000 0.0000 0.5000 [2 per cell]  12 Li 2.84-2.89



(8)
The following is a DFT calculation (PBE-GGA) of crystalline NaSr6Hg2 at its relaxed geometry.

Results
V ... 43.4 Å³/atom
Formation enthalpy at 0 K ... -0.24 eV/atom

Cell lengths 10.8978, 11.3639, 12.6208 Å; angles 90.00, 90.00, 90.00 degrees
With the nearest neighbours (Å) after each atom.
Space group Immm (No. 71)
Inequivalent atoms, fractional coordinates:
1 Na 0.0000 0.0000 0.0000 [2 per cell]  2 Hg 3.66, 8 Sr 3.79-3.82
2 Na 0.0000 0.0000 0.5000 [2 per cell]  12 Sr 3.99-4.27
3 Sr 0.0000 0.2025 0.2412 [8 per cell]  1 Hg 3.34
4 Sr 0.1887 0.5000 0.1659 [8 per cell]  3 Hg 3.30-3.56
5 Sr 0.2091 0.3176 0.5000 [8 per cell]  3 Hg 3.49-3.55, 1 Na 3.79
6 Hg 0.0000 0.3224 0.0000 [4 per cell]  8 Sr 3.34-3.56, 1 Na 3.66
7 Hg 0.0000 0.5000 0.3707 [4 per cell]  1 Hg 3.26, 6 Sr 3.30-3.49



(9)
The following is a DFT calculation (PBE-GGA) of crystalline Cs4H2Se2S at its relaxed geometry.

Results
V ... 35.6 Å³/atom
Uncorrected energy ... -3.1358 eV per atom

Cell lengths 8.9929, 8.9939, 9.0998 Å; angles 90.00, 119.49, 90.00 degrees
With the nearest neighbours (Å) after each atom.
Space group C2/m (No. 12)
Inequivalent atoms, fractional coordinates:
1 Cs 0.1237 0.2500 0.2486 [8 per cell]  2 H 3.23-3.24
2 H 0.1624 0.0000 0.8248 [4 per cell]  1 Se 1.53
3 Se 0.2414 0.5000 0.9826 [4 per cell]  1 H 1.53
4 S 0.0000 0.0000 0.5000 [2 per cell]  2 H 2.57



(10)
The following is a DFT calculation (PBE-GGA) of crystalline Dy3ZnPt at its relaxed geometry.

Results
E above lowest polymorph ... 0 meV per atom
V ... 24.0 Å³/atom
Formation enthalpy at 0 K ... -0.63 eV/atom

Cell lengths 4.9659, 19.4879, 4.9558 Å; angles 90.00, 90.00, 90.00 degrees
With the nearest neighbours (Å) after each atom.
Space group Cmcm (No. 63)
Inequivalent atoms, fractional coordinates:
1 Dy 0.0000 0.0679 0.2500 [4 per cell]  2 Zn 3.02, 2 Pt 3.10
2 Dy 0.0000 0.2496 0.2500 [4 per cell]  4 Pt 3.00, 4 Zn 3.07-3.08
3 Dy 0.0000 0.4300 0.2500 [4 per cell]  2 Zn 3.00, 2 Pt 3.07
4 Zn 0.0000 0.1568 0.7500 [4 per cell]  8 Dy 3.00-3.08
5 Pt 0.0000 0.3366 0.7500 [4 per cell]  8 Dy 3.00-3.10



(11)
The following is a DFT calculation (PBE-GGA) of crystalline RbNa2U3Te6 at its relaxed geometry.

Results
V ... 34.5 Å³/atom
Uncorrected energy ... -5.4658 eV per atom

Cell lengths 20.6455, 4.4385, 9.5839 Å; angles 90.00, 109.31, 90.00 degrees
With the nearest neighbours (Å) after each atom.
Space group C2/m (No. 12)
Inequivalent atoms, fractional coordinates:
1 Rb 0.0000 0.0000 0.0000 [2 per cell]  6 Te 3.46
2 Na 0.1701 0.5000 0.3361 [4 per cell]  6 Te 3.31-3.45
3 U 0.0000 0.0000 0.5000 [2 per cell]  6 Te 3.08-3.16
4 U 0.1653 0.5000 0.8285 [4 per cell]  6 Te 3.10-3.16
5 Te 0.0044 0.5000 0.7260 [4 per cell]  3 U 3.08-3.14
6 Te 0.1618 0.0000 0.5919 [4 per cell]  3 U 3.16, 3 Na 3.31-3.35
7 Te 0.1757 0.0000 0.0702 [4 per cell]  3 U 3.10-3.16, 2 Na 3.41, 1 Rb 3.46



(12)
The following is a DFT calculation (PBE-GGA) of crystalline ErSc2Nb at its relaxed geometry.

Results
E above lowest polymorph ... 19 meV per atom
V ... 23.3 Å³/atom
Formation enthalpy at 0 K ... 0.16 eV/atom

Cell lengths 4.5431, 4.5431, 4.5133 Å; angles 90.00, 90.00, 90.00 degrees
With the nearest neighbours (Å) after each atom.
Space group P4/mmm (No. 123)
Inequivalent atoms, fractional coordinates:
1 Er 0.0000 0.0000 0.0000 [1 per cell]  8 Sc 3.20, 4 Nb 3.21
2 Sc 0.0000 0.5000 0.5000 [2 per cell]  4 Nb 3.20, 4 Er 3.20, 4 Sc 3.21
3 Nb 0.5000 0.5000 0.0000 [1 per cell]  8 Sc 3.20, 4 Er 3.21



The highest V belongs to which entry? CsTe3Rh



Among the records above, which one has the lowest V? Li3Ag



Please write out number 11 again, unchanged.
The following is a DFT calculation (PBE-GGA) of crystalline RbNa2U3Te6 at its relaxed geometry.

Results
V ... 34.5 Å³/atom
Uncorrected energy ... -5.4658 eV per atom

Cell lengths 20.6455, 4.4385, 9.5839 Å; angles 90.00, 109.31, 90.00 degrees
With the nearest neighbours (Å) after each atom.
Space group C2/m (No. 12)
Inequivalent atoms, fractional coordinates:
1 Rb 0.0000 0.0000 0.0000 [2 per cell]  6 Te 3.46
2 Na 0.1701 0.5000 0.3361 [4 per cell]  6 Te 3.31-3.45
3 U 0.0000 0.0000 0.5000 [2 per cell]  6 Te 3.08-3.16
4 U 0.1653 0.5000 0.8285 [4 per cell]  6 Te 3.10-3.16
5 Te 0.0044 0.5000 0.7260 [4 per cell]  3 U 3.08-3.14
6 Te 0.1618 0.0000 0.5919 [4 per cell]  3 U 3.16, 3 Na 3.31-3.35
7 Te 0.1757 0.0000 0.0702 [4 per cell]  3 U 3.10-3.16, 2 Na 3.41, 1 Rb 3.46



Among the records above, which one has the lowest V? Li3Ag